#1
An optimized crystal structure of Li3Al2VO6. Source: Alexandria via LeMat-Bulk, functional GGA+U.

Lattice parameters (Å, degrees): 4.992 8.715 5.102 90.00 108.84 90.00
Space group C2/m (No. 12)
Inequivalent atoms, fractional coordinates:
1 Li 0.000 0.000 0.000 x2
2 Li 0.000 0.330 0.000 x4
3 Al 0.000 0.167 0.500 x4
4 V 0.000 0.500 0.500 x2
5 O 0.225 0.000 0.719 x4
6 O 0.246 0.325 0.718 x8

***

#2
An optimized crystal structure of Li3Al2VO6. Source: Alexandria via LeMat-Bulk, functional GGA+U.

Lattice parameters (Å, degrees): 5.373 5.855 7.835 90.96 97.92 90.63
Space group P-1 (No. 2)
Inequivalent atoms, fractional coordinates:
1 Li 0.006 0.333 0.247 x2
2 Li 0.150 0.838 0.078 x2
3 Li 0.324 0.657 0.407 x2
4 Al 0.154 0.173 0.577 x2
5 Al 0.319 0.334 0.910 x2
6 V 0.497 0.168 0.252 x2
7 O 0.031 0.330 0.745 x2
8 O 0.157 0.859 0.576 x2
9 O 0.187 0.181 0.073 x2
10 O 0.328 0.311 0.426 x2
11 O 0.359 0.647 0.919 x2
12 O 0.472 0.165 0.754 x2

***

Of them, #1 has the highest stability.